(1)
## TiPBr (PBE)

Data for a relaxed structure of TiPBr.

Cell: 3.554 3.554 7.042 Å, 77.32 76.59 60.00°
Element x y z (fractional)
Ti 0.000 0.000 0.000
P 0.274 0.283 0.183
Br 0.752 0.739 0.737

Output
- Energy relative to the elements, uncorrected: -0.78 eV/atom
- Crystal system: triclinic
- Volume: 74 Å³/cell

=====

(2)
## YTi2PBr (PBE)

Data for a relaxed structure of YTi2PBr.

Cell: 5.290 5.290 5.008 Å, 90.00 90.00 90.00°
Element x y z (fractional)
Y 0.000 0.000 0.000
Ti 0.000 0.500 0.000
Ti 0.500 0.000 0.000
P 0.000 0.000 0.500
Br 0.500 0.500 0.500

Output
- Energy relative to the elements, uncorrected: 1.16 eV/atom
- Crystal system: tetragonal
- Volume: 140 Å³/cell

=====

(3)
## TlPBr2 (PBE)

Data for a relaxed structure of TlPBr2.

Cell: 5.267 5.055 5.461 Å, 90.00 106.61 90.00°
Element x y z (fractional)
Tl 0.000 0.000 0.000
P 0.430 0.500 0.332
Br 0.308 0.500 0.708
Br 0.587 0.000 0.372

Output
- Energy relative to the elements, uncorrected: -0.08 eV/atom
- Crystal system: monoclinic
- Volume: 139 Å³/cell

=====

(4)
## Tl2PBr (PBE)

Data for a relaxed structure of Tl2PBr.

Cell: 5.371 5.371 4.466 Å, 90.00 90.00 90.00°
Element x y z (fractional)
Tl 0.000 0.500 0.075
Tl 0.500 0.000 0.925
P 0.000 0.000 0.000
Br 0.500 0.500 0.500

Output
- Energy relative to the elements, uncorrected: -0.08 eV/atom
- Crystal system: tetragonal
- Volume: 129 Å³/cell

=====

(5)
## TlPBr2 (PBE)

Data for a relaxed structure of TlPBr2.

Cell: 4.266 4.266 8.992 Å, 90.00 90.00 125.25°
Element x y z (fractional)
Tl 0.000 0.000 0.000
P 0.500 0.500 0.228
Br 0.000 0.000 0.395
Br 0.500 0.500 0.770

Output
- Energy relative to the elements, uncorrected: 0.11 eV/atom
- Crystal system: orthorhombic
- Volume: 134 Å³/cell

=====

(6)
## TlPBr2 (PBE)

Data for a relaxed structure of TlPBr2.

Cell: 3.687 3.687 8.969 Å, 90.00 90.00 90.00°
Element x y z (fractional)
Tl 0.000 0.000 0.000
P 0.500 0.500 0.651
Br 0.000 0.000 0.574
Br 0.500 0.500 0.191

Output
- Energy relative to the elements, uncorrected: 0.10 eV/atom
- Crystal system: tetragonal
- Volume: 122 Å³/cell

=====

no.,total magnetization (μB per formula unit),ρ (g/cm³),VASP energy (eV/atom)
1,0.0,3.5,-5.77
2,0.0,3.5,-4.71
3,0.0,4.7,-2.86
4,0.0,6.7,-3.03
5,0.0,4.9,-2.67
6,0.0,5.4,-2.68